Record 1
Compound: Mg5CdRh4
Source: the Alexandria database
Functional: PBE-GGA
Structure: optimized geometry

Calculated values
For the energy of formation from the pure elements, the calculation gives -4.25 eV/f.u. The space-group type is P4/mmm (123).

Unit cell a=3.1734 b=3.1734 c=16.1794 alpha=90.00 beta=90.00 gamma=90.00
Last column: nearest neighbours and their distance in Å.
Fractional positions:
Mg1 0.0000 0.0000 0.0000  8 Rh 2.71
Mg2 0.0000 0.0000 0.1882  8 Rh 2.71-2.74, 1 Mg 2.99
Mg3 0.0000 0.0000 0.3730  4 Rh 2.66
Mg4 0.0000 0.0000 0.6270  4 Rh 2.66
Mg5 0.0000 0.0000 0.8118  8 Rh 2.71-2.74, 1 Mg 2.99
Cd1 0.5000 0.5000 0.5000  8 Mg 3.04, 4 Cd 3.17
Rh1 0.5000 0.5000 0.0942  8 Mg 2.71
Rh2 0.5000 0.5000 0.2851  8 Mg 2.66-2.74
Rh3 0.5000 0.5000 0.7149  8 Mg 2.66-2.74
Rh4 0.5000 0.5000 0.9058  8 Mg 2.71

---

Record 2
Compound: Mg2CdRh
Source: the Alexandria database
Functional: PBE-GGA
Structure: optimized geometry

Calculated values
For the energy of formation from the pure elements, the calculation gives -1.22 eV/f.u. The space-group type is Cm (8).

Unit cell a=5.4207 b=5.4207 c=4.4562 alpha=114.03 beta=114.03 gamma=37.08
Last column: nearest neighbours and their distance in Å.
Fractional positions:
Mg1 0.0000 0.0000 0.0000  4 Rh 2.82, 4 Cd 2.98-3.14, 4 Mg 3.06-3.08
Mg2 0.2276 0.2276 0.7280  2 Rh 2.70, 4 Cd 2.83-2.84
Cd1 0.7619 0.7619 0.2621  2 Rh 2.83, 8 Mg 2.83-3.14
Rh1 0.5039 0.5039 0.5038  6 Mg 2.70-2.82, 2 Cd 2.83

---

Record 3
Compound: MgCdRh
Source: the Alexandria database
Functional: PBE-GGA
Structure: optimized geometry

Calculated values
For the energy of formation from the pure elements, the calculation gives -0.87 eV/f.u. The space-group type is Pmmm (47).

Unit cell a=3.0685 b=4.3352 c=4.6049 alpha=90.00 beta=90.00 gamma=90.00
Last column: nearest neighbours and their distance in Å.
Fractional positions:
Mg1 0.0000 0.0000 0.0000  4 Rh 2.66
Cd1 0.0000 0.5000 0.5000  4 Rh 2.77, 2 Cd 3.07
Rh1 0.5000 0.5000 0.0000  4 Mg 2.66, 4 Cd 2.77

---

DOS at the Fermi energy / states/eV/f.u.: 6.8 1.4 0.9
Total magnetization / μB/f.u.: 0.00 0.00 0.00